Record 1
Computed, not measured: TlNiW2 at its PBEsol-relaxed geometry at the meta-GGA SCAN level of DFT.

Cell: 9.2668 9.2668 9.2668 Å, 17.72 17.72 17.72°
Closest atoms and distances in Å follow each position.
Atoms (fractional coordinates):
Tl (0.0000, 0.0000, 0.0000)  3 Ni 2.78, 6 Tl 2.85, 3 W 3.05
Ni (0.2517, 0.2517, 0.2517)  3 W 2.56, 3 Tl 2.78, 6 Ni 2.85
W (0.5135, 0.5135, 0.5135)  3 Ni 2.56, 6 W 2.85
W (0.7603, 0.7603, 0.7603)  9 W 2.85-2.89, 3 Tl 3.05

Computed properties:
Calculated formation energy ... 0.71 eV per atom
Fermi-level density of states ... 4.1 states/eV per cell
Calculated total energy ... -56.27 eV/atom
Excess energy over the best structure of this formula in the dataset ... 0.59 eV/f.u.

***

Record 2
Computed, not measured: Sr2Co at its PBEsol-relaxed geometry at the meta-GGA SCAN level of DFT.

Cell: 5.2107 5.2107 7.2721 Å, 90.00 90.00 120.00°
Closest atoms and distances in Å follow each position.
Atoms (fractional coordinates):
Sr (0.0000, 0.0000, 0.0000)  6 Co 3.52, 8 Sr 3.52-3.64
Sr (0.0000, 0.0000, 0.5000)  6 Co 3.52, 8 Sr 3.52-3.64
Sr (0.3333, 0.6667, 0.2500)  3 Co 3.01
Sr (0.6667, 0.3333, 0.7500)  3 Co 3.01
Co (0.3333, 0.6667, 0.7500)  3 Sr 3.01
Co (0.6667, 0.3333, 0.2500)  3 Sr 3.01

Computed properties:
Calculated formation energy ... 0.65 eV per atom
Fermi-level density of states ... 5.6 states/eV per cell
Calculated total energy ... -19.97 eV/atom